No. 1
! K2FePt, optimized geometry, DFT PBE-GGA; values from VASP
&SYSTEM
  ibrav = 0, nat = 8, ntyp = 3
/
ATOMIC_SPECIES
K 39.10 K.upf
Fe 55.84 Fe.upf
Pt 195.08 Pt.upf
CELL_PARAMETERS angstrom
7.282 0.000 0.000
0.000 4.199 0.000
-2.072 0.000 9.233
ATOMIC_POSITIONS crystal
K 0.000 0.000 0.000
K 0.151 0.000 0.527
K 0.500 0.500 0.000
K 0.651 0.500 0.527
Fe 0.242 0.500 0.264
Fe 0.742 0.000 0.264
Pt 0.409 0.000 0.264
Pt 0.909 0.500 0.264
! - magnetic moment (μB per formula unit) = 2.94
! - calculated volume (Å³ per cell) = 282.3
! - ΔE_f (meV per atom) = 208
! - final energy (eV/atom) = -3.966
! - energy relative to the lowest polymorph listed for this composition (meV/atom) = 0

---

No. 2
! KDyGa2Br6, optimized geometry, DFT PBE-GGA; values from VASP
&SYSTEM
  ibrav = 0, nat = 10, ntyp = 4
/
ATOMIC_SPECIES
K 39.10 K.upf
Dy 162.50 Dy.upf
Ga 69.72 Ga.upf
Br 79.90 Br.upf
CELL_PARAMETERS angstrom
3.916 2.261 6.955
-3.916 2.261 6.955
0.000 -4.522 6.955
ATOMIC_POSITIONS crystal
K 0.000 0.000 0.000
Dy 0.490 0.490 0.490
Ga 0.299 0.299 0.299
Ga 0.805 0.805 0.805
Br 0.116 0.676 0.419
Br 0.245 0.587 0.850
Br 0.419 0.116 0.676
Br 0.587 0.850 0.245
Br 0.676 0.419 0.116
Br 0.850 0.245 0.587
! - magnetic moment (μB per formula unit) = 0.00
! - calculated volume (Å³ per cell) = 369.6
! - formation energy without anion corrections (eV per formula unit) = -13.236
! - final energy (eV/atom) = -3.503

---

No. 3
! ZnTeSe2, optimized geometry, DFT PBE-GGA; values from VASP
&SYSTEM
  ibrav = 0, nat = 8, ntyp = 3
/
ATOMIC_SPECIES
Zn 65.41 Zn.upf
Te 127.60 Te.upf
Se 78.96 Se.upf
CELL_PARAMETERS angstrom
3.813 0.000 0.000
0.000 4.617 0.000
0.000 0.000 11.492
ATOMIC_POSITIONS crystal
Zn 0.000 0.000 0.000
Zn 0.500 0.500 0.500
Te 0.000 0.500 0.700
Te 0.500 0.000 0.200
Se 0.000 0.000 0.570
Se 0.000 0.500 0.366
Se 0.500 0.000 0.866
Se 0.500 0.500 0.070
! - magnetic moment (μB per formula unit) = 0.00
! - calculated volume (Å³ per cell) = 202.3
! - formation energy without anion corrections (eV per formula unit) = 0.091
! - final energy (eV/atom) = -2.823
! - energy relative to the lowest polymorph listed for this composition (meV/atom) = 147

---

No. 4
! Ba2Ca2Se, optimized geometry, DFT PBE-GGA; values from VASP
&SYSTEM
  ibrav = 0, nat = 10, ntyp = 3
/
ATOMIC_SPECIES
Ba 137.33 Ba.upf
Ca 40.08 Ca.upf
Se 78.96 Se.upf
CELL_PARAMETERS angstrom
8.003 0.000 0.000
0.000 8.003 0.000
0.000 0.000 6.961
ATOMIC_POSITIONS crystal
Ba 0.167 0.333 0.000
Ba 0.333 0.833 0.000
Ba 0.667 0.167 0.000
Ba 0.833 0.667 0.000
Ca 0.169 0.669 0.500
Ca 0.331 0.169 0.500
Ca 0.669 0.831 0.500
Ca 0.831 0.331 0.500
Se 0.000 0.000 0.500
Se 0.500 0.500 0.500
! - magnetic moment (μB per formula unit) = 0.00
! - calculated volume (Å³ per cell) = 445.8
! - formation energy without anion corrections (eV per formula unit) = -2.389
! - final energy (eV/atom) = -2.744

---

No. 5
! YCoPt2, optimized geometry, DFT PBE-GGA; values from VASP
&SYSTEM
  ibrav = 0, nat = 16, ntyp = 3
/
ATOMIC_SPECIES
Y 88.91 Y.upf
Co 58.93 Co.upf
Pt 195.08 Pt.upf
CELL_PARAMETERS angstrom
6.512 0.000 0.000
0.000 6.512 0.000
0.000 0.000 6.512
ATOMIC_POSITIONS crystal
Y 0.000 0.000 0.000
Y 0.000 0.500 0.500
Y 0.500 0.000 0.500
Y 0.500 0.500 0.000
Co 0.250 0.250 0.750
Co 0.250 0.750 0.250
Co 0.750 0.250 0.250
Co 0.750 0.750 0.750
Pt 0.000 0.000 0.500
Pt 0.000 0.500 0.000
Pt 0.250 0.250 0.250
Pt 0.250 0.750 0.750
Pt 0.500 0.000 0.000
Pt 0.500 0.500 0.500
Pt 0.750 0.250 0.750
Pt 0.750 0.750 0.250
! - magnetic moment (μB per formula unit) = 1.64
! - calculated volume (Å³ per cell) = 276.1
! - ΔE_f (meV per atom) = -387
! - final energy (eV/atom) = -6.800

---

No. 6
! SrScH2Se, optimized geometry, DFT PBE-GGA; values from VASP
&SYSTEM
  ibrav = 0, nat = 5, ntyp = 4
/
ATOMIC_SPECIES
Sr 87.62 Sr.upf
Sc 44.96 Sc.upf
H 1.01 H.upf
Se 78.96 Se.upf
CELL_PARAMETERS angstrom
4.239 0.000 0.000
0.000 4.239 0.000
0.000 0.000 5.256
ATOMIC_POSITIONS crystal
Sr 0.000 0.000 0.000
Sc 0.500 0.500 0.500
H 0.000 0.500 0.500
H 0.500 0.000 0.500
Se 0.500 0.500 0.000
! - magnetic moment (μB per formula unit) = 0.00
! - calculated volume (Å³ per cell) = 94.4
! - final energy (eV/atom) = -4.540

---

No. 7
! CeThH, optimized geometry, DFT PBE-GGA; values from VASP
&SYSTEM
  ibrav = 0, nat = 6, ntyp = 3
/
ATOMIC_SPECIES
Ce 140.12 Ce.upf
Th 232.04 Th.upf
H 1.01 H.upf
CELL_PARAMETERS angstrom
3.493 0.000 0.000
0.000 5.005 0.000
-1.738 0.000 7.111
ATOMIC_POSITIONS crystal
Ce 0.049 0.250 0.098
Ce 0.951 0.750 0.902
Th 0.317 0.250 0.635
Th 0.683 0.750 0.365
H 0.319 0.750 0.638
H 0.681 0.250 0.362
! - magnetic moment (μB per formula unit) = 0.00
! - calculated volume (Å³ per cell) = 124.3
! - final energy (eV/atom) = -5.730
! - energy relative to the lowest polymorph listed for this composition (meV/atom) = 0

---

No. 8
! KMnTe2, optimized geometry, DFT PBE-GGA; values from VASP
&SYSTEM
  ibrav = 0, nat = 8, ntyp = 3
/
ATOMIC_SPECIES
K 39.10 K.upf
Mn 54.94 Mn.upf
Te 127.60 Te.upf
CELL_PARAMETERS angstrom
4.506 0.000 0.000
0.000 4.506 0.000
0.000 0.000 11.295
ATOMIC_POSITIONS crystal
K 0.000 0.000 0.000
K 0.500 0.500 0.500
Mn 0.000 0.500 0.750
Mn 0.500 0.000 0.250
Te 0.000 0.000 0.500
Te 0.000 0.500 0.250
Te 0.500 0.000 0.750
Te 0.500 0.500 0.000
! - magnetic moment (μB per formula unit) = 4.58
! - calculated volume (Å³ per cell) = 229.3
! - formation energy without anion corrections (eV per formula unit) = 0.135
! - final energy (eV/atom) = -4.104

---

No. 9
! SrTlIn2Rh, optimized geometry, DFT PBE-GGA; values from VASP
&SYSTEM
  ibrav = 0, nat = 5, ntyp = 4
/
ATOMIC_SPECIES
Sr 87.62 Sr.upf
Tl 204.38 Tl.upf
In 114.82 In.upf
Rh 102.91 Rh.upf
CELL_PARAMETERS angstrom
5.201 0.000 0.000
0.000 5.201 0.000
0.000 0.000 5.672
ATOMIC_POSITIONS crystal
Sr 0.000 0.000 0.000
Tl 0.500 0.500 0.000
In 0.000 0.500 0.500
In 0.500 0.000 0.500
Rh 0.000 0.000 0.500
! - magnetic moment (μB per formula unit) = 0.00
! - calculated volume (Å³ per cell) = 153.4
! - ΔE_f (meV per atom) = -251
! - final energy (eV/atom) = -3.626
! - energy relative to the lowest polymorph listed for this composition (meV/atom) = 0

---

Copy entry 3 word for word.
! ZnTeSe2, optimized geometry, DFT PBE-GGA; values from VASP
&SYSTEM
  ibrav = 0, nat = 8, ntyp = 3
/
ATOMIC_SPECIES
Zn 65.41 Zn.upf
Te 127.60 Te.upf
Se 78.96 Se.upf
CELL_PARAMETERS angstrom
3.813 0.000 0.000
0.000 4.617 0.000
0.000 0.000 11.492
ATOMIC_POSITIONS crystal
Zn 0.000 0.000 0.000
Zn 0.500 0.500 0.500
Te 0.000 0.500 0.700
Te 0.500 0.000 0.200
Se 0.000 0.000 0.570
Se 0.000 0.500 0.366
Se 0.500 0.000 0.866
Se 0.500 0.500 0.070
! - magnetic moment (μB per formula unit) = 0.00
! - calculated volume (Å³ per cell) = 202.3
! - formation energy without anion corrections (eV per formula unit) = 0.091
! - final energy (eV/atom) = -2.823
! - energy relative to the lowest polymorph listed for this composition (meV/atom) = 147

---

What is the final energy in the sixth record?
-4.540 eV/atom

---

Which value of calculated volume does entry 7 give?
124.3 Å³ per cell